An optimized crystal structure of MgSc2MnAg, computed with PBE-GGA.

Cell lengths 4.674, 5.085, 4.674 Å; angles 90.00, 90.00, 90.00 degrees
Sites, in units of the cell vectors:
1 Sc 0.500 0.000 0.000
2 Sc 0.000 0.000 0.500
3 Ag 0.000 0.500 0.000
4 Mn 0.000 0.000 0.000
5 Mg 0.500 0.500 0.500

Energy of formation from the pure elements (eV/atom): 0.3170
Electronic total energy (eV/atom): -4.939
Density of states at the Fermi level (states/eV/f.u.): 3.493